Entry 1:
Crystalline NaPr3Nd4Se8 at its relaxed geometry. Source: Alexandria via LeMat-Bulk, functional PBE-GGA.

Cell: 8.490 8.490 8.490 Å, 60.00 60.00 60.00°
Positions (direct):
Na  0.000  0.000  0.000
Pr  0.000  0.500  0.500
Pr  0.500  0.000  0.500
Pr  0.500  0.500  0.000
Nd  0.000  0.000  0.500
Nd  0.000  0.500  0.000
Nd  0.500  0.000  0.000
Nd  0.500  0.500  0.500
Se  0.246  0.752  0.752
Se  0.248  0.248  0.754
Se  0.248  0.754  0.248
Se  0.249  0.249  0.249
Se  0.751  0.751  0.751
Se  0.752  0.246  0.752
Se  0.752  0.752  0.246
Se  0.754  0.248  0.248

Calculated values
Space group: No. 166
Formation energy (no corrections): -1.80 eV/atom
Total moment: 0.00 Bohr magnetons per cell
Calculated total energy: -5.715 eV/atom

Entry 2:
Crystalline Tm3TlIn at its relaxed geometry. Source: Alexandria via LeMat-Bulk, functional PBE-GGA.

Cell: 8.411 8.411 9.096 Å, 110.19 110.19 79.26°
Positions (direct):
Tm  0.007  0.326  0.543
Tm  0.036  0.723  0.878
Tm  0.277  0.964  0.622
Tm  0.326  0.007  0.043
Tm  0.344  0.349  0.915
Tm  0.349  0.344  0.415
Tm  0.651  0.656  0.585
Tm  0.656  0.651  0.085
Tm  0.674  0.993  0.957
Tm  0.723  0.036  0.378
Tm  0.964  0.277  0.122
Tm  0.993  0.674  0.457
Tl  0.169  0.567  0.179
Tl  0.433  0.831  0.321
Tl  0.567  0.169  0.679
Tl  0.831  0.433  0.821
In  0.038  0.962  0.250
In  0.359  0.641  0.750
In  0.641  0.359  0.250
In  0.962  0.038  0.750

Calculated values
Space group: No. 15
Total moment: 0.00 Bohr magnetons per cell
Relative energy among the computed polymorphs: 0.158 eV per atom
Calculated total energy: -3.855 eV/atom

- What is the formula in the first record?
  NaPr3Nd4Se8